w) Density functional theory data (PBE-GGA) for a geometry-optimized La2PrNd2 structure.

```
5
Lattice="-0.767 0.127 3.527 -5.163 -2.061 -1.049 5.676 -7.167 1.493" Properties=species:S:1:pos:R:3 pbc="T T T"
La -0.717 -5.968 0.060
La 1.229 -3.260 0.385
Pr 0.000 0.000 0.000
Nd 2.076 -6.450 2.534
Nd -2.331 -2.651 1.438
```

Output
For the calculated volume, the calculation gives 180 Å³/f.u. For the magnetization, the calculation gives 0.00 μB per formula unit. Its density of states at the Fermi level is 8.10 states/eV per cell.

x) Density functional theory data (PBE-GGA) for a geometry-optimized La2PrNd2 structure.

```
10
Lattice="6.314 0.611 -1.227 -2.150 5.788 -1.902 0.257 -0.703 9.783" Properties=species:S:1:pos:R:3 pbc="T T T"
La 2.100 2.288 0.194
La -0.260 4.537 1.652
La 2.321 3.408 6.460
La 4.681 1.159 5.002
Pr 2.534 5.892 -0.289
Pr 1.888 -0.196 6.943
Nd 5.146 1.975 -1.366
Nd 0.747 1.987 3.684
Nd -0.725 3.721 8.020
Nd 3.674 3.709 2.970
```

Output
For the calculated volume, the calculation gives 181 Å³/f.u. For the magnetization, the calculation gives 0.00 μB per formula unit. Its density of states at the Fermi level is 12.74 states/eV per cell.

Most stable of them? w).

w) Density functional theory data (PBE-GGA) for a geometry-optimized LaPr6Nd2 structure.

```
9
Lattice="-2.803 2.002 -0.736 -3.822 -7.530 -5.928 -2.370 0.371 10.035" Properties=species:S:1:pos:R:3 pbc="T T T"
La 0.000 0.000 0.000
Pr -1.439 0.580 3.232
Pr -4.730 -4.279 2.548
Pr -3.733 1.792 6.066
Pr -4.693 -3.432 -4.489
Pr -4.264 -0.878 0.822
Pr -1.931 -2.096 -2.176
Nd -4.739 -3.895 -0.975
Nd -4.255 -1.262 4.346
```

Output
For the calculated volume, the calculation gives 325 Å³/f.u. For the magnetization, the calculation gives 0.22 μB per formula unit. Its density of states at the Fermi level is 17.58 states/eV per cell.

x) Density functional theory data (PBE-GGA) for a geometry-optimized LaPr6Nd2 structure.

```
9
Lattice="-2.576 -1.940 -1.616 0.246 -12.387 -1.631 -6.464 -9.273 5.327" Properties=species:S:1:pos:R:3 pbc="T T T"
La 0.000 0.000 0.000
Pr -8.516 -15.031 3.431
Pr -4.729 -6.503 3.266
Pr -0.278 -8.569 -1.350
Pr -5.518 -11.280 2.203
Pr -4.064 -17.097 -1.185
Pr -3.276 -12.320 -0.122
Nd -5.004 -15.086 1.925
Nd -3.790 -8.514 0.155
```

Output
For the calculated volume, the calculation gives 324 Å³/f.u. For the magnetization, the calculation gives 0.00 μB per formula unit. Its density of states at the Fermi level is 13.27 states/eV per cell.

Most stable of them? x).

w) Density functional theory data (PBE-GGA) for a geometry-optimized LaPr3Nd2 structure.

```
6
Lattice="-1.678 0.474 3.103 0.915 -5.898 1.395 9.117 5.099 2.109" Properties=species:S:1:pos:R:3 pbc="T T T"
La 0.000 0.000 0.000
Pr 0.458 -2.949 0.698
Pr 5.030 -1.234 4.949
Pr 3.325 0.908 1.659
Nd 2.042 -2.050 3.458
Nd 6.312 1.725 3.149
```

Output
For the calculated volume, the calculation gives 219 Å³/f.u. For the magnetization, the calculation gives 0.00 μB per formula unit. Its density of states at the Fermi level is 10.48 states/eV per cell.

x) Density functional theory data (PBE-GGA) for a geometry-optimized LaPr3Nd2 structure.

```
12
Lattice="-8.192 -2.630 -2.926 2.673 -6.781 -1.388 -2.880 1.562 6.657" Properties=species:S:1:pos:R:3 pbc="T T T"
La -1.893 -4.872 0.324
La -6.505 -2.977 2.020
Pr -5.061 -3.758 -1.307
Pr -5.164 -6.366 1.326
Pr -3.726 -7.147 -2.001
Pr -4.673 -0.703 4.344
Pr -3.337 -4.091 3.651
Pr -3.234 -1.483 1.018
Nd 0.000 0.000 0.000
Nd -0.103 -2.610 2.635
Nd 1.336 -3.391 -0.694
Nd -1.440 0.781 3.329
```

Output
For the calculated volume, the calculation gives 217 Å³/f.u. For the magnetization, the calculation gives 0.00 μB per formula unit. Its density of states at the Fermi level is 17.89 states/eV per cell.

Most stable of them? x).

w) Density functional theory data (PBE-GGA) for a geometry-optimized La6Pr12Nd structure.

```
19
Lattice="8.701 0.000 2.789 -4.330 8.112 3.530 0.041 0.000 9.849" Properties=species:S:1:pos:R:3 pbc="T T T"
La 1.617 3.852 4.921
La -2.477 5.556 7.741
La -0.184 6.407 10.563
La 2.795 4.260 11.248
La 6.889 2.556 8.428
La 4.595 1.705 5.606
Pr 0.950 6.833 7.036
Pr 2.120 7.256 13.365
Pr 5.774 2.135 11.943
Pr 3.461 1.279 9.132
Pr 2.291 0.856 2.804
Pr -1.362 5.977 4.225
Pr 0.492 3.404 8.434
Pr -0.671 2.988 2.101
Pr 1.170 0.416 6.336
Pr 3.920 4.707 7.734
Pr 5.082 5.124 14.067
Pr 3.241 7.696 9.833
Nd 0.000 0.000 0.000
```

Output
For the calculated volume, the calculation gives 694 Å³/f.u. For the magnetization, the calculation gives 0.00 μB per formula unit. Its density of states at the Fermi level is 35.95 states/eV per cell.

x) Density functional theory data (PBE-GGA) for a geometry-optimized La6Pr12Nd structure.

```
19
Lattice="8.813 0.667 0.799 -0.677 8.812 0.799 -0.677 -0.789 8.813" Properties=species:S:1:pos:R:3 pbc="T T T"
La 5.665 8.227 3.965
La 5.915 2.722 1.607
La 0.185 6.013 2.965
La 1.794 0.463 6.446
La 1.544 5.968 8.804
La 7.274 2.677 7.445
Pr 6.227 4.873 4.891
Pr 2.952 6.753 5.668
Pr 3.872 3.580 7.657
Pr 1.231 3.818 5.520
Pr 4.507 1.937 4.742
Pr 3.587 5.110 2.753
Pr -0.191 1.367 3.359
Pr 6.079 5.388 9.792
Pr 4.404 8.415 8.465
Pr 7.650 7.323 7.051
Pr 1.380 3.302 0.618
Pr 3.055 0.275 1.945
Nd 0.000 0.000 0.000
```

Output
For the calculated volume, the calculation gives 699 Å³/f.u. For the magnetization, the calculation gives 0.00 μB per formula unit. Its density of states at the Fermi level is 29.51 states/eV per cell.

Most stable of them? w).